No. 1
{"formula": "FeCoSe", "functional": "PBE", "state": "optimized geometry", "lattice": [[3.9553, 0.0000, 0.0000], [-1.9777, 3.4254, 0.0000], [0.0000, 0.0000, 3.0149]], "species": ["Fe", "Co", "Se"], "frac_coords": [[0.0000, 0.0000, 0.0000], [0.6667, 0.3333, 0.5337], [0.3333, 0.6667, 0.4733]], "sg": "P3m1 (156)", "crystal_system": "trigonal", "total_energy_ev_per_atom": -6.12, "polymorph_energy_mev_per_atom": 198, "m_tot_mub_per_cell": 3.7}


No. 2
{"formula": "Tm2GaGe2", "functional": "PBE", "state": "optimized geometry", "lattice": [[4.0143, 0.0000, 0.0000], [0.0000, 6.2333, 0.0000], [0.0000, 0.0000, 8.4022]], "species": ["Tm", "Tm", "Tm", "Tm", "Ga", "Ga", "Ge", "Ge", "Ge", "Ge"], "frac_coords": [[0.0000, 0.0000, 0.2188], [0.0000, 0.0000, 0.7812], [0.5000, 0.5000, 0.2812], [0.5000, 0.5000, 0.7188], [0.0000, 0.5000, 0.0000], [0.5000, 0.0000, 0.5000], [0.0000, 0.2916, 0.5000], [0.0000, 0.7084, 0.5000], [0.5000, 0.2084, 0.0000], [0.5000, 0.7916, 0.0000]], "sg": "Immm (71)", "crystal_system": "orthorhombic", "total_energy_ev_per_atom": -4.94, "m_tot_mub_per_cell": 0.0, "formation_energy_ev_per_atom": -0.6985}


No. 3
{"formula": "Ho4Er5Sc3", "functional": "PBE", "state": "optimized geometry", "lattice": [[7.9024, -2.8299, 0.0000], [7.9024, 2.8299, 0.0000], [-4.1395, 0.0000, 8.0145]], "species": ["Ho", "Ho", "Ho", "Ho", "Er", "Er", "Er", "Er", "Er", "Sc", "Sc", "Sc"], "frac_coords": [[0.0820, 0.0820, 0.4411], [0.2156, 0.2156, 0.8793], [0.7844, 0.7844, 0.1207], [0.9180, 0.9180, 0.5589], [0.0000, 0.0000, 0.0000], [0.3260, 0.3260, 0.6216], [0.4263, 0.4263, 0.2889], [0.5737, 0.5737, 0.7111], [0.6740, 0.6740, 0.3784], [0.2143, 0.2143, 0.2347], [0.5000, 0.5000, 0.0000], [0.7857, 0.7857, 0.7653]], "sg": "C2/m (12)", "crystal_system": "monoclinic", "total_energy_ev_per_atom": -4.79, "m_tot_mub_per_cell": 0.8, "formation_energy_ev_per_atom": 0.2200}


No. 4
{"formula": "CdFe2Cl", "functional": "PBE", "state": "optimized geometry", "lattice": [[2.9622, 0.0000, 0.0000], [0.0000, 4.7108, 0.0000], [0.0000, 0.0000, 11.0795]], "species": ["Cd", "Cd", "Fe", "Fe", "Fe", "Fe", "Cl", "Cl"], "frac_coords": [[0.0000, 0.0000, 0.0000], [0.5000, 0.5000, 0.5000], [0.0000, 0.0000, 0.5425], [0.0000, 0.5000, 0.8758], [0.5000, 0.0000, 0.3758], [0.5000, 0.5000, 0.0425], [0.0000, 0.5000, 0.2217], [0.5000, 0.0000, 0.7217]], "sg": "Imm2 (44)", "crystal_system": "orthorhombic", "total_energy_ev_per_atom": -4.62, "polymorph_energy_mev_per_atom": 222, "m_tot_mub_per_cell": 11.5}


No. 5
{"formula": "KCaCl2F", "functional": "PBE", "state": "optimized geometry", "lattice": [[5.4974, 0.0000, 0.0000], [0.0000, 5.4974, 0.0000], [0.0000, 0.0000, 4.3687]], "species": ["K", "Ca", "Cl", "Cl", "F"], "frac_coords": [[0.0000, 0.0000, 0.0000], [0.5000, 0.5000, 0.5000], [0.0000, 0.5000, 0.5000], [0.5000, 0.0000, 0.5000], [0.5000, 0.5000, 0.0000]], "sg": "P4/mmm (123)", "crystal_system": "tetragonal", "total_energy_ev_per_atom": -4.37, "m_tot_mub_per_cell": 0.0}


No. 6
{"formula": "SiHgAsBr2", "functional": "PBE", "state": "optimized geometry", "lattice": [[5.1233, 0.0000, 0.0000], [0.0000, 5.1233, 0.0000], [0.0000, 0.0000, 5.1215]], "species": ["Si", "Hg", "As", "Br", "Br"], "frac_coords": [[0.0000, 0.0000, 0.0000], [0.5000, 0.5000, 0.5000], [0.0000, 0.0000, 0.5000], [0.0000, 0.5000, 0.0000], [0.5000, 0.0000, 0.0000]], "sg": "P4/mmm (123)", "crystal_system": "tetragonal", "total_energy_ev_per_atom": -2.54, "polymorph_energy_mev_per_atom": 0, "m_tot_mub_per_cell": 1.0}


No. 7
{"formula": "CaPm2F11", "functional": "PBE", "state": "optimized geometry", "lattice": [[-4.4033, 5.0278, 5.9253], [4.4033, -5.0278, 5.9253], [4.4033, 5.0278, -5.9253]], "species": ["Ca", "Ca", "Pm", "Pm", "Pm", "Pm", "F", "F", "F", "F", "F", "F", "F", "F", "F", "F", "F", "F", "F", "F", "F", "F", "F", "F", "F", "F", "F", "F"], "frac_coords": [[0.2500, 0.2500, 0.0000], [0.7500, 0.7500, 0.0000], [0.1896, 0.6665, 0.8562], [0.3104, 0.1665, 0.4769], [0.6896, 0.8335, 0.5231], [0.8104, 0.3335, 0.1438], [0.0000, 0.5000, 0.5000], [0.0231, 0.9760, 0.2888], [0.0619, 0.3291, 0.1326], [0.1872, 0.4760, 0.9529], [0.1965, 0.9293, 0.8674], [0.2024, 0.4024, 0.6048], [0.2976, 0.9024, 0.2000], [0.3035, 0.1709, 0.7328], [0.3128, 0.2657, 0.2888], [0.4381, 0.5707, 0.2672], [0.4769, 0.7657, 0.9529], [0.5000, 0.0000, 0.5000], [0.5231, 0.2343, 0.0471], [0.5619, 0.4293, 0.7328], [0.6872, 0.7343, 0.7112], [0.6965, 0.8291, 0.2672], [0.7024, 0.0976, 0.8000], [0.7976, 0.5976, 0.3952], [0.8035, 0.0707, 0.1326], [0.8128, 0.5240, 0.0471], [0.9381, 0.6709, 0.8674], [0.9769, 0.0240, 0.7112]], "sg": "Ibam (72)", "crystal_system": "orthorhombic", "total_energy_ev_per_atom": -5.31, "m_tot_mub_per_cell": 6.0}


No. 8
{"formula": "Ag2IrPb2", "functional": "PBE", "state": "optimized geometry", "lattice": [[3.6702, 0.0000, 0.0000], [0.0000, 3.6702, 0.0000], [0.0000, 0.0000, 17.2008]], "species": ["Ag", "Ag", "Ag", "Ag", "Ir", "Ir", "Pb", "Pb", "Pb", "Pb"], "frac_coords": [[0.0000, 0.5000, 0.2500], [0.0000, 0.5000, 0.7500], [0.5000, 0.0000, 0.2500], [0.5000, 0.0000, 0.7500], [0.0000, 0.0000, 0.0000], [0.5000, 0.5000, 0.5000], [0.0000, 0.0000, 0.4079], [0.0000, 0.0000, 0.5921], [0.5000, 0.5000, 0.0921], [0.5000, 0.5000, 0.9079]], "sg": "I4/mmm (139)", "crystal_system": "tetragonal", "total_energy_ev_per_atom": -3.99, "polymorph_energy_mev_per_atom": 0, "m_tot_mub_per_cell": 0.0, "formation_energy_ev_per_atom": 0.4091}


Question: Number 8 is which compound?
Answer: Ag2IrPb2


Copy entry 5 word for word.
{"formula": "KCaCl2F", "functional": "PBE", "state": "optimized geometry", "lattice": [[5.4974, 0.0000, 0.0000], [0.0000, 5.4974, 0.0000], [0.0000, 0.0000, 4.3687]], "species": ["K", "Ca", "Cl", "Cl", "F"], "frac_coords": [[0.0000, 0.0000, 0.0000], [0.5000, 0.5000, 0.5000], [0.0000, 0.5000, 0.5000], [0.5000, 0.0000, 0.5000], [0.5000, 0.5000, 0.0000]], "sg": "P4/mmm (123)", "crystal_system": "tetragonal", "total_energy_ev_per_atom": -4.37, "m_tot_mub_per_cell": 0.0}


Copy entry 1 word for word.
{"formula": "FeCoSe", "functional": "PBE", "state": "optimized geometry", "lattice": [[3.9553, 0.0000, 0.0000], [-1.9777, 3.4254, 0.0000], [0.0000, 0.0000, 3.0149]], "species": ["Fe", "Co", "Se"], "frac_coords": [[0.0000, 0.0000, 0.0000], [0.6667, 0.3333, 0.5337], [0.3333, 0.6667, 0.4733]], "sg": "P3m1 (156)", "crystal_system": "trigonal", "total_energy_ev_per_atom": -6.12, "polymorph_energy_mev_per_atom": 198, "m_tot_mub_per_cell": 3.7}


Question: Which formula does entry 2 have?
Answer: Tm2GaGe2